A plane-wave DFT calculation with PBE was carried out for crystalline Tl3ReNi at its relaxed geometry.

Geometry as extended XYZ:
```
5
Lattice="-1.7719 4.8610 -1.2454 0.1973 -1.2522 -5.1685 -5.0142 -1.7670 0.2367" Properties=species:S:1:pos:R:3 pbc="T T T"
Re 0.0000 0.0000 0.0000
Tl 0.0987 -0.6261 -2.5842
Tl -2.5071 -0.8835 0.1184
Tl -0.8859 2.4305 -0.6227
Ni -3.2944 0.9209 -3.0886
```

## Properties
**Formation energy from the elements**: 1.28 eV/atom
**ΔE to the lowest computed polymorph**: 0.0693 eV per atom
**DFT total energy**: -3.79 eV per atom
**DOS at the Fermi energy**: 5.3952 states/eV/atom


A plane-wave DFT calculation with PBE was carried out for crystalline Tl2ReNi at its relaxed geometry.

Geometry as extended XYZ:
```
4
Lattice="-2.4168 -0.6574 1.6920 2.5522 -1.4662 0.6875 2.2283 6.5676 5.7345" Properties=species:S:1:pos:R:3 pbc="T T T"
Ni 0.6248 0.5801 2.6234
Re 1.7389 3.8639 5.4906
Tl 0.0365 0.1077 0.0940
Tl 1.0776 3.1761 2.7732
```

## Properties
**Formation energy from the elements**: 0.87 eV/atom
**ΔE to the lowest computed polymorph**: 0.3169 eV per atom
**DFT total energy**: -4.87 eV per atom
**DOS at the Fermi energy**: 0.9098 states/eV/atom


A plane-wave DFT calculation with PBE was carried out for crystalline TlReNi2 at its relaxed geometry.

Geometry as extended XYZ:
```
4
Lattice="4.3949 0.0000 0.0000 2.1974 3.8061 0.0000 2.1974 1.2687 3.5884" Properties=species:S:1:pos:R:3 pbc="T T T"
Ni 0.0000 0.0000 0.0000
Ni 6.5923 3.8061 2.6913
Re 4.3949 2.5374 1.7942
Tl 2.1974 1.2687 0.8971
```

## Properties
**Formation energy from the elements**: 0.76 eV/atom
**ΔE to the lowest computed polymorph**: 0.4387 eV per atom
**DFT total energy**: -5.83 eV per atom
**DOS at the Fermi energy**: 1.3001 states/eV/atom


A plane-wave DFT calculation with PBE was carried out for crystalline TlReNi2 at its relaxed geometry.

Geometry as extended XYZ:
```
4
Lattice="4.8488 0.0389 0.0000 1.7751 4.5123 0.0000 -3.3119 -2.2756 2.7138" Properties=species:S:1:pos:R:3 pbc="T T T"
Ni 0.0000 0.0000 0.0000
Ni 0.8875 2.2562 1.3569
Re 3.3119 2.2756 0.0000
Tl 2.4244 0.0195 1.3569
```

## Properties
**Formation energy from the elements**: 0.66 eV/atom
**ΔE to the lowest computed polymorph**: 0.3412 eV per atom
**DFT total energy**: -5.93 eV per atom
**DOS at the Fermi energy**: 0.9996 states/eV/atom


A plane-wave DFT calculation with PBE was carried out for crystalline Tl2ReNi at its relaxed geometry.

Geometry as extended XYZ:
```
4
Lattice="-4.0520 1.4126 2.1252 -0.6720 -0.8333 4.6674 0.0721 3.6355 3.1159" Properties=species:S:1:pos:R:3 pbc="T T T"
Ni -2.3259 2.1074 4.9543
Re -3.4889 3.1611 7.4314
Tl 0.0000 0.0000 0.0000
Tl -1.1630 1.0537 2.4771
```

## Properties
**Formation energy from the elements**: 1.19 eV/atom
**ΔE to the lowest computed polymorph**: 0.6336 eV per atom
**DFT total energy**: -4.56 eV per atom
**DOS at the Fermi energy**: 0.7150 states/eV/atom


A plane-wave DFT calculation with PBE was carried out for crystalline Tl2ReNi at its relaxed geometry.

Geometry as extended XYZ:
```
4
Lattice="-0.2813 -2.9822 -0.6695 5.1783 -0.1020 -1.7215 4.6824 -1.1039 2.9501" Properties=species:S:1:pos:R:3 pbc="T T T"
Ni 4.7897 -2.0940 0.2795
Re 2.3412 -0.5520 1.4750
Tl 0.0000 0.0000 0.0000
Tl 2.4485 -1.5421 -1.1955
```

## Properties
**Formation energy from the elements**: 0.88 eV/atom
**ΔE to the lowest computed polymorph**: 0.3287 eV per atom
**DFT total energy**: -4.86 eV per atom
**DOS at the Fermi energy**: 0.8181 states/eV/atom


A plane-wave DFT calculation with PBE was carried out for crystalline Tl3ReNi at its relaxed geometry.

Geometry as extended XYZ:
```
5
Lattice="5.0243 0.0000 0.0000 0.0000 5.0243 0.0000 0.0000 0.0000 5.0243" Properties=species:S:1:pos:R:3 pbc="T T T"
Re 2.5122 2.5122 2.5122
Tl 0.0000 2.5122 0.0000
Tl 0.0000 0.0000 2.5122
Tl 2.5122 0.0000 0.0000
Ni 0.0000 0.0000 0.0000
```

## Properties
**Formation energy from the elements**: 1.21 eV/atom
**ΔE to the lowest computed polymorph**: 0.0000 eV per atom
**DFT total energy**: -3.86 eV per atom
**DOS at the Fermi energy**: 0.5077 states/eV/atom


A plane-wave DFT calculation with PBE was carried out for crystalline Tl2ReNi at its relaxed geometry.

Geometry as extended XYZ:
```
4
Lattice="9.5951 -0.0344 -0.0202 9.1123 3.0055 -0.0202 9.1123 1.4472 2.6342" Properties=species:S:1:pos:R:3 pbc="T T T"
Ni 13.6641 2.1702 1.2740
Re 21.2126 3.3690 1.9778
Tl 0.2306 0.0366 0.0215
Tl 6.6221 1.0517 0.6174
```

## Properties
**Formation energy from the elements**: 0.68 eV/atom
**ΔE to the lowest computed polymorph**: 0.1263 eV per atom
**DFT total energy**: -5.06 eV per atom
**DOS at the Fermi energy**: 0.9140 states/eV/atom


Q: Among the records above, which one has the highest DOS at the Fermi energy?
A: number 1


Q: What is the DOS at the Fermi energy in the eighth record?
A: 0.9140 states/eV/atom